# BaHg2Cl6

BaHg2Cl6 after structural relaxation (PBE, Alexandria via LeMat-Bulk).

## Properties
The calculation puts the excess energy over the best structure of this formula in the dataset at 0 meV/atom. The calculation puts the raw formation energy at -1.211 eV/atom. As for the total energy: -2.722 eV/atom. Its space-group type is C2/c, No. 15.

Cell lengths 7.565, 10.984, 10.984 Å; angles 61.89, 54.83, 54.83 degrees
Element x y z (fractional)
Cl 0.196 0.069 0.657
Cl 0.851 0.245 0.991
Cl 0.351 0.991 0.245
Cl 0.264 0.399 0.341
Cl 0.149 0.755 0.009
Cl 0.649 0.009 0.755
Cl 0.736 0.601 0.659
Cl 0.304 0.343 0.931
Cl 0.236 0.659 0.601
Cl 0.804 0.931 0.343
Cl 0.764 0.341 0.399
Cl 0.696 0.657 0.069
Ba 0.250 0.323 0.677
Ba 0.750 0.677 0.323
Hg 0.183 0.633 0.860
Hg 0.683 0.860 0.633
Hg 0.317 0.140 0.367
Hg 0.817 0.367 0.140

# Rb4TeH5

Rb4TeH5 after structural relaxation (PBE, Alexandria via LeMat-Bulk).

## Properties
As for the total energy: -2.570 eV/atom. Its space-group type is P1, No. 1.

Cell lengths 4.676, 14.224, 8.933 Å; angles 76.74, 77.63, 82.77 degrees
Element x y z (fractional)
Rb 0.524 0.386 0.125
Rb 0.649 0.808 0.440
Rb 0.797 0.963 0.839
Rb 0.608 0.104 0.304
Rb 0.282 0.719 0.975
Rb 0.266 0.196 0.927
Rb 0.969 0.531 0.733
Rb 0.915 0.272 0.547
H 0.771 0.306 0.855
H 0.190 0.970 0.503
H 0.911 0.482 0.405
H 0.463 0.130 0.631
H 0.385 0.539 0.903
H 0.066 0.253 0.230
H 0.895 0.647 0.293
H 0.850 0.774 0.750
H 0.245 0.992 0.562
H 0.398 0.430 0.454
Te 0.201 0.941 0.159
Te 0.613 0.557 0.363

# AlBrN2O

AlBrN2O after structural relaxation (PBE, Alexandria via LeMat-Bulk).

## Properties
The calculation puts the raw formation energy at 0.743 eV/atom. As for the total energy: -4.662 eV/atom. Its space-group type is P4/mmm, No. 123.

Cell lengths 4.087, 4.087, 3.560 Å; angles 90.00, 90.00, 90.00 degrees
Each line ends with the local moment (μB).
Element x y z (fractional)
N 0.000 0.500 0.000  0.76
N 0.500 0.000 0.000  0.76
Al 0.000 0.000 0.000  -0.02
O 0.000 0.000 0.500  0.31
Br 0.500 0.500 0.500  -0.06

# Sc2Mn5CoB2

Sc2Mn5CoB2 after structural relaxation (PBE, Alexandria via LeMat-Bulk).

## Properties
As for the energy of formation: -2.32 eV per formula unit. As for the total energy: -8.129 eV/atom. Its space-group type is P4/mbm, No. 127.

Cell lengths 3.035, 8.932, 8.932 Å; angles 90.00, 90.00, 90.00 degrees
Each line ends with the local moment (μB).
Element x y z (fractional)
Co 0.000 0.000 0.000  1.60
Co 0.000 0.500 0.500  1.60
Mn 0.500 0.933 0.213  2.48
Mn 0.500 0.500 0.000  1.12
Mn 0.500 0.433 0.287  2.48
Mn 0.500 0.787 0.933  2.48
Mn 0.500 0.213 0.067  2.48
Mn 0.500 0.000 0.500  1.12
Mn 0.500 0.287 0.567  2.48
Mn 0.500 0.067 0.787  2.48
Mn 0.500 0.713 0.433  2.48
Mn 0.500 0.567 0.713  2.48
B 0.000 0.620 0.880  -0.14
B 0.000 0.880 0.380  -0.14
B 0.000 0.380 0.120  -0.14
B 0.000 0.120 0.620  -0.14
Sc 0.000 0.326 0.826  -0.22
Sc 0.000 0.826 0.674  -0.22
Sc 0.000 0.674 0.174  -0.22
Sc 0.000 0.174 0.326  -0.22

# LiHgAs2

LiHgAs2 after structural relaxation (PBE, Alexandria via LeMat-Bulk).

## Properties
As for the energy of formation: -0.61 eV per formula unit. As for the total energy: -3.032 eV/atom. Its space-group type is C2/m, No. 12.

Cell lengths 5.120, 5.120, 5.407 Å; angles 82.73, 82.73, 40.93 degrees
Element x y z (fractional)
Li 0.250 0.250 0.250
As 0.502 0.502 0.408
As 0.998 0.998 0.092
Hg 0.750 0.750 0.750

# AgHg2Pt

AgHg2Pt after structural relaxation (PBE, Alexandria via LeMat-Bulk).

## Properties
The calculation puts the excess energy over the best structure of this formula in the dataset at 152 meV/atom. As for the energy of formation: 0.86 eV per formula unit. As for the total energy: -2.159 eV/atom. Its space-group type is I-42d, No. 122.

Cell lengths 4.125, 4.125, 10.287 Å; angles 78.43, 78.43, 90.00 degrees
Element x y z (fractional)
Hg 0.875 0.882 0.750
Hg 0.375 0.368 0.750
Hg 0.118 0.625 0.250
Hg 0.632 0.125 0.250
Pt 0.750 0.250 0.500
Pt 0.000 0.000 0.000
Ag 0.500 0.500 0.000
Ag 0.250 0.750 0.500